# PBE+U Li2FeCoF6, optimized geometry
data_Li2FeCoF6
_space_group_name_H-M_alt 'P 1'
_space_group_IT_number 1
_space_group_name_Hall 'P 1'
_cell_length_a 5.1917
_cell_length_b 5.1959
_cell_length_c 5.5748
_cell_angle_alpha 62.39
_cell_angle_beta 63.10
_cell_angle_gamma 60.26
loop_
_atom_site_label
_atom_site_fract_x
_atom_site_fract_y
_atom_site_fract_z
Li1 0.0000 0.0000 0.0000
Li2 0.4918 0.5113 0.5058
Fe1 0.2049 0.2094 0.3827
Co1 0.7042 0.7088 0.8881
F1 0.1045 0.7996 0.6793
F2 0.3056 0.6194 0.1710
F3 0.4201 0.1134 0.6664
F4 0.6169 0.9132 0.1718
F5 0.7949 0.4261 0.6784
F6 0.9274 0.2987 0.1695
# M_tot: 7.00 μB per cell
# Volume: 11.076 Å³ per atom
# N(E_F): 0.0 states/eV/f.u.
# Total energy: -5.121 eV per atom